{"formula": "Nd2BeGa4Pd3", "functional": "PBE", "state": "relaxed", "lattice_angstrom": [[4.2262, 0.0000, 0.0000], [0.0000, 4.2262, 0.0000], [0.0000, 0.0000, 10.6121]], "species": ["Nd", "Nd", "Be", "Ga", "Ga", "Ga", "Ga", "Pd", "Pd", "Pd"], "frac_coords": [[0.0000, 0.5000, 0.2433], [0.5000, 0.0000, 0.7567], [0.5000, 0.5000, 0.0000], [0.0000, 0.0000, 0.5000], [0.0000, 0.5000, 0.8748], [0.5000, 0.0000, 0.1252], [0.5000, 0.5000, 0.5000], [0.0000, 0.0000, 0.0000], [0.0000, 0.5000, 0.6366], [0.5000, 0.0000, 0.3634]], "sg": "P-4m2 (115)", "ef_kcal_per_mol_atoms": -15.3, "magmom_total_mub_per_cell": 0.00}

***

{"formula": "TlBiN2", "functional": "PBE", "state": "relaxed", "lattice_angstrom": [[3.4191, 0.0000, 0.0000], [0.0758, 6.4605, 0.0000], [1.6907, 0.0037, 12.8951]], "species": ["Tl", "Tl", "Bi", "Bi", "N", "N", "N", "N"], "frac_coords": [[0.0971, 0.2501, 0.3041], [0.9029, 0.7499, 0.6959], [0.5000, 0.0000, 0.5000], [0.5000, 0.5000, 0.5000], [0.2054, 0.6641, 0.0870], [0.2095, 0.8365, 0.0870], [0.7905, 0.1635, 0.9130], [0.7946, 0.3359, 0.9130]], "relative_energy_mev_per_atom": 0.0, "sg": "P-1 (2)", "raw_formation_energy_mev_per_atom": 61, "magmom_total_mub_per_cell": 0.00}

***

{"formula": "Zn3OsI", "functional": "PBE", "state": "relaxed", "lattice_angstrom": [[4.9656, 0.0000, 0.0000], [0.0000, 4.9656, 0.0000], [0.0000, 0.0000, 4.9656]], "species": ["Zn", "Zn", "Zn", "Os", "I"], "frac_coords": [[0.0000, 0.0000, 0.5000], [0.0000, 0.5000, 0.0000], [0.5000, 0.0000, 0.0000], [0.0000, 0.0000, 0.0000], [0.5000, 0.5000, 0.5000]], "relative_energy_mev_per_atom": 0.0, "sg": "Pm-3m (221)", "raw_formation_energy_mev_per_atom": 700, "magmom_total_mub_per_cell": 1.20}